## B3C7 (PBE-GGA)

Data for a relaxed structure of B3C7.

Output
Its density of states at the Fermi level is 0.2 states/eV/f.u. Its crystal system is monoclinic. The electronic total energy comes out at -8.171 eV per atom. The relative energy among the computed polymorphs comes out at 0.26 eV/f.u. The energy of formation is 0.288 eV per atom. As for the theoretical density: 3.151 g/cm³.

abc: 4.371 4.371 6.136
angles: 109.27 109.27 33.93
Atoms (fractional coordinates):
B1 0.000 0.000 0.000
B2 0.108 0.108 0.768
B3 0.757 0.757 0.930
C1 0.124 0.124 0.517
C2 0.320 0.320 0.578
C3 0.353 0.353 0.340
C4 0.544 0.544 0.380
C5 0.574 0.574 0.145
C6 0.772 0.772 0.202
C7 0.892 0.892 0.722